# 1
{"formula": "Al2Cu3Ni", "functional": "GGA-PBEsol", "state": "relaxed", "cell": [[-3.2815, -0.9024, 0.1813], [1.0069, -3.6582, 0.0168], [0.7821, -1.7268, 5.5612]], "species": ["Ni", "Al", "Al", "Cu", "Cu", "Cu"], "frac_coords": [[0.0000, 0.0000, 0.0000], [0.5000, 0.1559, 0.6881], [0.5000, 0.8441, 0.3119], [0.0000, 0.3325, 0.3350], [0.0000, 0.6675, 0.6650], [0.5000, 0.5000, 0.0000]], "final_energy_ev_per_atom": -4.833}

***

# 2
{"formula": "Al2CuNi5", "functional": "GGA-PBEsol", "state": "relaxed", "cell": [[3.5599, 0.0000, 0.0000], [0.0000, 4.9693, 0.0000], [0.0000, 0.0000, 9.9336]], "species": ["Al", "Al", "Al", "Al", "Cu", "Cu", "Ni", "Ni", "Ni", "Ni", "Ni", "Ni", "Ni", "Ni", "Ni", "Ni"], "frac_coords": [[0.5000, 0.2653, 0.6287], [0.5000, 0.7347, 0.3713], [0.5000, 0.2347, 0.1287], [0.5000, 0.7653, 0.8713], [0.0000, 0.0000, 0.5000], [0.0000, 0.5000, 0.0000], [0.0000, 0.0000, 0.0000], [0.0000, 0.5000, 0.5000], [0.0000, 0.5158, 0.7500], [0.0000, 0.4842, 0.2500], [0.0000, 0.9842, 0.2500], [0.0000, 0.0158, 0.7500], [0.5000, 0.2606, 0.8766], [0.5000, 0.7394, 0.1234], [0.5000, 0.2394, 0.3766], [0.5000, 0.7606, 0.6234]], "de_polymorph_mev_per_atom": 0, "final_energy_ev_per_atom": -5.842}

***

# 3
{"formula": "Al3Cu3Ni", "functional": "GGA-PBEsol", "state": "relaxed", "cell": [[-1.4856, 0.7852, -3.8065], [-6.4663, -0.2255, 2.4772], [3.4593, 6.0017, -0.1121]], "species": ["Ni", "Ni", "Al", "Al", "Al", "Al", "Al", "Al", "Cu", "Cu", "Cu", "Cu", "Cu", "Cu"], "frac_coords": [[0.7500, 0.6667, 0.3333], [0.2500, 0.3333, 0.6667], [0.7500, 0.0912, 0.4582], [0.7500, 0.3670, 0.9088], [0.7500, 0.5418, 0.6330], [0.2500, 0.9088, 0.5418], [0.2500, 0.6330, 0.0912], [0.2500, 0.4582, 0.3670], [0.7500, 0.8138, 0.0492], [0.7500, 0.2354, 0.1862], [0.7500, 0.9508, 0.7646], [0.2500, 0.1862, 0.9508], [0.2500, 0.7646, 0.8138], [0.2500, 0.0492, 0.2354]], "final_energy_ev_per_atom": -4.790}

***

# 4
{"formula": "Al2CuNi", "functional": "GGA-PBEsol", "state": "relaxed", "cell": [[3.0168, 0.0000, 0.0000], [0.0000, 3.9696, 0.0000], [-1.5084, -1.9848, 4.1319]], "species": ["Ni", "Al", "Al", "Cu"], "frac_coords": [[0.2495, 0.7495, 0.4990], [0.9860, 0.9860, 0.9720], [0.7569, 0.2569, 0.5138], [0.5076, 0.5076, 0.0152]], "final_energy_ev_per_atom": -5.048}

***

# 5
{"formula": "AlCuNi6", "functional": "GGA-PBEsol", "state": "relaxed", "cell": [[-2.7902, 0.9469, 1.8843], [0.5068, -2.7323, 2.1235], [4.0983, 3.9385, 4.0895]], "species": ["Al", "Cu", "Ni", "Ni", "Ni", "Ni", "Ni", "Ni"], "frac_coords": [[0.0000, 0.0000, 0.0000], [0.0000, 0.0000, 0.5000], [0.5000, 0.5000, 0.0000], [0.5000, 0.5000, 0.5000], [0.5000, 0.0000, 0.2518], [0.5000, 0.0000, 0.7482], [0.0000, 0.5000, 0.2518], [0.0000, 0.5000, 0.7482]], "final_energy_ev_per_atom": -5.865}

***

# 6
{"formula": "Al2CuNi", "functional": "GGA-PBEsol", "state": "relaxed", "cell": [[3.7220, 0.0000, 0.0000], [-1.8610, 3.2233, 0.0000], [0.0000, 0.0000, 4.8015]], "species": ["Ni", "Al", "Al", "Cu"], "frac_coords": [[0.0000, 0.0000, 0.0000], [0.6667, 0.3333, 0.7722], [0.3333, 0.6667, 0.2278], [0.0000, 0.0000, 0.5000]], "final_energy_ev_per_atom": -4.845}

***

# 7
{"formula": "Al2CuNi4", "functional": "GGA-PBEsol", "state": "relaxed", "cell": [[4.0781, 0.0000, 0.0000], [0.0000, 4.3830, 0.0077], [0.0000, -2.1678, 8.7752]], "species": ["Al", "Al", "Al", "Al", "Cu", "Cu", "Ni", "Ni", "Ni", "Ni", "Ni", "Ni", "Ni", "Ni"], "frac_coords": [[0.7500, 0.0580, 0.9203], [0.2500, 0.9420, 0.0797], [0.7500, 0.7680, 0.3588], [0.2500, 0.2320, 0.6412], [0.2500, 0.5176, 0.2164], [0.7500, 0.4824, 0.7836], [0.7500, 0.1897, 0.2122], [0.2500, 0.8103, 0.7878], [0.7500, 0.3357, 0.4953], [0.2500, 0.6643, 0.5047], [0.7500, 0.8957, 0.6409], [0.2500, 0.1043, 0.3591], [0.7500, 0.6192, 0.0701], [0.2500, 0.3808, 0.9299]], "final_energy_ev_per_atom": -5.707}

***

# 8
{"formula": "Al2Cu2Ni", "functional": "GGA-PBEsol", "state": "relaxed", "cell": [[-0.9414, -2.0203, 2.2766], [0.0880, -2.4001, -2.0935], [6.7522, 1.0548, 1.4988]], "species": ["Al", "Al", "Cu", "Cu", "Ni"], "frac_coords": [[0.5983, 0.5983, 0.1966], [0.4017, 0.4017, 0.8034], [0.2500, 0.7500, 0.5000], [0.7500, 0.2500, 0.5000], [0.0000, 0.0000, 0.0000]], "de_polymorph_mev_per_atom": 283, "final_energy_ev_per_atom": -4.659}

***

# 9
{"formula": "Al3Cu3Ni2", "functional": "GGA-PBEsol", "state": "relaxed", "cell": [[-1.1365, -0.8712, 2.2820], [5.7347, 0.3372, 2.9848], [-3.9506, 5.1285, -0.0097]], "species": ["Ni", "Ni", "Al", "Al", "Al", "Cu", "Cu", "Cu"], "frac_coords": [[0.0000, 0.6667, 0.3333], [0.0000, 0.3333, 0.6667], [0.5000, 0.6006, 0.6006], [0.5000, 0.0000, 0.3994], [0.5000, 0.3994, 0.0000], [0.0000, 0.2275, 0.2275], [0.0000, 0.0000, 0.7725], [0.0000, 0.7725, 0.0000]], "de_polymorph_mev_per_atom": 9, "final_energy_ev_per_atom": -5.057}

***

# 10
{"formula": "Al2CuNi5", "functional": "GGA-PBEsol", "state": "relaxed", "cell": [[4.0854, 0.0000, 0.0000], [0.0000, 4.0854, 0.0000], [-2.0427, -2.0427, 5.3096]], "species": ["Al", "Al", "Cu", "Ni", "Ni", "Ni", "Ni", "Ni"], "frac_coords": [[0.2512, 0.2512, 0.5024], [0.7488, 0.7488, 0.4976], [0.0000, 0.0000, 0.0000], [0.5000, 0.5000, 0.0000], [0.1234, 0.6234, 0.2468], [0.6234, 0.1234, 0.2468], [0.8766, 0.3766, 0.7532], [0.3766, 0.8766, 0.7532]], "de_polymorph_mev_per_atom": 85, "final_energy_ev_per_atom": -5.756}

***

# 11
{"formula": "AlCu3Ni3", "functional": "GGA-PBEsol", "state": "relaxed", "cell": [[4.0685, 0.0000, 0.0000], [0.0000, 6.6314, 0.0000], [0.0000, -3.3157, 5.7430]], "species": ["Ni", "Ni", "Ni", "Ni", "Ni", "Ni", "Al", "Al", "Cu", "Cu", "Cu", "Cu", "Cu", "Cu"], "frac_coords": [[0.7500, 0.6191, 0.5258], [0.7500, 0.9066, 0.3809], [0.7500, 0.4742, 0.0934], [0.2500, 0.3809, 0.4742], [0.2500, 0.0934, 0.6191], [0.2500, 0.5258, 0.9066], [0.7500, 0.3333, 0.6667], [0.2500, 0.6667, 0.3333], [0.7500, 0.0424, 0.8056], [0.7500, 0.7632, 0.9576], [0.7500, 0.1944, 0.2368], [0.2500, 0.9576, 0.1944], [0.2500, 0.2368, 0.0424], [0.2500, 0.8056, 0.7632]], "final_energy_ev_per_atom": -5.285}

***

# 12
{"formula": "AlCuNi2", "functional": "GGA-PBEsol", "state": "relaxed", "cell": [[-1.3858, 0.4369, 2.2624], [2.9709, -1.8567, 2.1784], [1.2631, 3.9272, 0.0152]], "species": ["Ni", "Ni", "Al", "Cu"], "frac_coords": [[0.0000, 0.0000, 0.5000], [0.0000, 0.5000, 0.0000], [0.5000, 0.5000, 0.5000], [0.5000, 0.0000, 0.0000]], "final_energy_ev_per_atom": -5.547}